An optimized crystal structure of SrV3O11, computed with PBE with a Hubbard U.

Cell: 5.2425 11.1856 9.0624 Å, 90.00 102.82 90.00°
Closest atoms and distances in Å follow each position.
Positions (direct):
Sr 0.1543 0.2500 0.2344  8 O 2.57-2.83
Sr 0.8457 0.7500 0.7656  8 O 2.57-2.83
V 0.2587 0.7500 0.5318  2 O 1.69-1.84
V 0.2753 0.0252 0.5656  1 O 1.60
V 0.2753 0.4748 0.5656  1 O 1.60
V 0.7247 0.5252 0.4344  1 O 1.60
V 0.7247 0.9748 0.4344  1 O 1.60
V 0.7413 0.2500 0.4682  2 O 1.69-1.84
O 0.0192 0.6032 0.5530  3 V 1.89-2.10
O 0.0192 0.8968 0.5530  3 V 1.89-2.10
O 0.1196 0.6514 0.0200  1 O 1.31
O 0.1196 0.8486 0.0200  1 O 1.31
O 0.1867 0.7500 0.3405  1 V 1.69
O 0.2219 0.7500 0.0858  2 O 1.31
O 0.3383 0.0780 0.7341  1 V 1.60
O 0.3383 0.4220 0.7341  1 V 1.60
O 0.3481 0.7500 0.7405  1 V 1.84
O 0.4815 0.1032 0.4486  2 V 1.89-1.94
O 0.4815 0.3968 0.4486  2 V 1.89-1.94
O 0.5185 0.6032 0.5514  2 V 1.89-1.94
O 0.5185 0.8968 0.5514  2 V 1.89-1.94
O 0.6519 0.2500 0.2595  1 V 1.84
O 0.6617 0.5780 0.2659  1 V 1.60
O 0.6617 0.9220 0.2659  1 V 1.60
O 0.7781 0.2500 0.9142  2 O 1.31
O 0.8133 0.2500 0.6595  1 V 1.69
O 0.8804 0.1514 0.9800  1 O 1.31
O 0.8804 0.3486 0.9800  1 O 1.31
O 0.9808 0.1032 0.4470  3 V 1.89-2.10
O 0.9808 0.3968 0.4470  3 V 1.89-2.10

final energy	-0.4926	Ry/atom